Record 1
Below is a relaxed structure of ScTc2As, with properties calculated at the PBE level.

abc: 3.724 3.724 9.341
angles: 90.00 90.00 90.00
Space group I4/mmm (No. 139)
Symmetry-distinct sites (fractional):
Sc  0.000  0.000  0.000
Tc  0.000  0.500  0.250
As  0.000  0.000  0.500

Results
VASP energy	-8.0639	eV per atom



Record 2
Below is a relaxed structure of ScTc2As, with properties calculated at the PBE level.

abc: 3.0709 3.0709 24.8150
angles: 90.00 90.00 120.00
Space group R3m (No. 160, hexagonal axes)
Symmetry-distinct sites (fractional):
Sc  0.0000  0.0000  0.0000
Tc  0.0000  0.0000  0.2496
Tc  0.0000  0.0000  0.5003
As  0.0000  0.0000  0.7615

Results
VASP energy	-7.9248	eV per atom



Record 3
Below is a relaxed structure of ScTeAs2, with properties calculated at the PBE level.

abc: 4.213 4.247 11.584
angles: 90.00 90.00 90.00
Space group Cmmm (No. 65)
Symmetry-distinct sites (fractional):
Sc  0.000  0.000  0.000
Te  0.000  0.000  0.500
As  0.000  0.500  0.172

Results
E_form (uncorrected)	-0.29	eV/atom



Record 4
Below is a relaxed structure of ScTeAs2, with properties calculated at the PBE level.

abc: 5.852 8.131 4.996
angles: 90.00 125.50 90.00
Space group C2/m (No. 12)
Symmetry-distinct sites (fractional):
Sc  0.000  0.000  0.000
Te  0.000  0.500  0.000
As  0.250  0.250  0.500

Results
E_form (uncorrected)	-0.45	eV/atom



Record 5
Below is a relaxed structure of ScTeAs2, with properties calculated at the PBE level.

abc: 4.0990 4.0990 21.1717
angles: 90.00 90.00 120.00
Space group R3m (No. 160, hexagonal axes)
Symmetry-distinct sites (fractional):
Sc  0.0000  0.0000  0.0000
Te  0.0000  0.0000  0.7449
As  0.0000  0.0000  0.2533
As  0.0000  0.0000  0.5395

Results
E_form (uncorrected)	-0.45	eV/atom



Record 6
Below is a relaxed structure of Sc3TeAs, with properties calculated at the PBE level.

abc: 13.738 11.335 6.697
angles: 90.00 103.01 90.00
Space group C2/c (No. 15)
Symmetry-distinct sites (fractional):
Sc  0.093  0.056  0.429
Sc  0.100  0.234  0.966
Sc  0.107  0.422  0.461
Te  0.247  0.103  0.799
As  0.000  0.249  0.250
As  0.000  0.408  0.750

Results
E_form (uncorrected)	-0.92	eV/atom
relative energy among the computed polymorphs	110	meV/atom



So what do the calculations give for density of states at the Fermi level? Going down the list: 6.82; 13.39; 4.58; 1.09; 3.35; 30.01 states/eV/cell.